(1)
# CrMoN2F

A crystal of CrMoN2F relaxed with PBEsol (meta-GGA SCAN, the Alexandria database).

Cell: 3.9175 3.9175 3.9233 Å, 90.00 90.00 90.00°
Closest atoms and distances in Å follow each position.
Fractional positions:
Cr (0.0000, 0.0000, 0.0000)  4 F 2.77, 8 N 2.77
Mo (0.5000, 0.5000, 0.5000)  4 N 1.96, 2 F 1.96
N (0.0000, 0.5000, 0.5000)  2 Mo 1.96
N (0.5000, 0.0000, 0.5000)  2 Mo 1.96
F (0.5000, 0.5000, 0.0000)  2 Mo 1.96

(2)
# CrSiN2F

A crystal of CrSiN2F relaxed with PBEsol (meta-GGA SCAN, the Alexandria database).

Cell: 4.1538 4.1538 3.3409 Å, 90.00 90.00 90.00°
Closest atoms and distances in Å follow each position.
Fractional positions:
Cr (0.0000, 0.0000, 0.0000)  8 N 2.67, 4 Si 2.94
Si (0.5000, 0.5000, 0.0000)  2 F 1.67
N (0.0000, 0.5000, 0.5000)  2 F 2.08
N (0.5000, 0.0000, 0.5000)  2 F 2.08
F (0.5000, 0.5000, 0.5000)  2 Si 1.67

So what do the calculations give for uncorrected formation energy? Going down the list: -321; 1415 meV/atom.